Crystalline Pm2Y4HoSc at its relaxed geometry. Source: Alexandria, functional PBE.

Results
Theoretical density (g/cm3): 5.62
Crystal system: tetragonal
Calculated volume (A^3/atom): 31.58
Total energy (eV per atom): -5.75
ΔH_f (0 K) (eV/atom): 0.036

```
Pm2Y4HoSc
1.0
-1.0959 -4.4195 2.1268
4.2200 -1.9638 -1.9062
9.2018 0.7590 6.3191
Sc Ho Pm Y
1 1 2 4
direct
0.0000 0.5000 0.5000
0.5000 0.5000 0.0000
0.0000 0.0000 0.0000
0.5000 0.0000 0.5000
0.5000 0.2546 0.7456
0.0000 0.7547 0.7455
0.5000 0.7454 0.2544
0.0000 0.2453 0.2545
```